(1)
Ac2CoB12Os3 | PBE | optimized geometry

Properties
The calculation puts the energy of formation at 0.52 eV per atom. As for the total magnetization: 0.00 μB per formula unit. As for the space-group type: R-3m.

Cell and atoms, written as POSCAR:
```
Ac2CoB12Os3
1.0
4.137 2.388 5.530
-4.137 2.388 5.530
0.000 -4.776 5.530
Ac Co B Os
2 1 12 3
Direct
0.211 0.211 0.211
0.789 0.789 0.789
0.500 0.500 0.500
0.204 0.568 0.568
0.305 0.305 0.535
0.305 0.535 0.305
0.432 0.432 0.796
0.432 0.796 0.432
0.465 0.695 0.695
0.535 0.305 0.305
0.568 0.204 0.568
0.568 0.568 0.204
0.695 0.465 0.695
0.695 0.695 0.465
0.796 0.432 0.432
0.000 0.500 0.500
0.500 0.000 0.500
0.500 0.500 0.000
```

(2)
AcCrB14 | PBE | optimized geometry

Properties
The calculation puts the energy of formation at -0.10 eV per atom. As for the total magnetization: 2.95 μB per formula unit. As for the space-group type: Imma.

Cell and atoms, written as POSCAR:
```
AcCrB14
1.0
-2.948 5.510 4.211
2.948 -5.510 4.211
2.948 5.510 -4.211
Ac Cr B
2 2 28
Direct
0.378 0.128 0.250
0.622 0.872 0.750
0.000 0.000 0.500
0.000 0.500 0.000
0.014 0.138 0.876
0.025 0.201 0.326
0.025 0.699 0.824
0.086 0.667 0.418
0.193 0.528 0.665
0.216 0.498 0.398
0.216 0.818 0.718
0.239 0.862 0.376
0.251 0.333 0.918
0.363 0.528 0.835
0.374 0.201 0.676
0.374 0.699 0.174
0.400 0.182 0.898
0.400 0.502 0.218
0.600 0.498 0.782
0.600 0.818 0.102
0.626 0.301 0.826
0.626 0.799 0.324
0.637 0.472 0.165
0.749 0.667 0.082
0.761 0.138 0.624
0.784 0.182 0.282
0.784 0.502 0.602
0.807 0.472 0.335
0.914 0.333 0.582
0.975 0.301 0.176
0.975 0.799 0.674
0.986 0.862 0.124
```

> What is the formula in the first record?

Ac2CoB12Os3